#A
Material: AcLaSe2
Method: DFT, GGA-PBE
State: relaxed

Output
**Calculated volume**: 121 Å³ per cell
**Spin magnetization**: 0.0000 μB per atom

```
AcLaSe2
1.0
-3.630 -2.218 -0.470
-1.340 -2.599 3.125
-5.594 4.176 4.006
Ac La Se
1 1 2
direct
0.672 0.672 0.985 Ac
0.495 0.495 0.515 La
0.086 0.086 0.743 Se
0.248 0.248 0.256 Se
```

---

#B
Material: AcLaSe2
Method: DFT, GGA-PBE
State: relaxed

Output
**Calculated volume**: 241 Å³ per cell
**Spin magnetization**: 0.0000 μB per atom

```
AcLaSe2
1.0
0.900 4.211 0.589
-3.753 -1.644 1.452
6.367 -3.161 12.878
Ac La Se
2 2 4
direct
0.667 0.333 0.250 Ac
0.333 0.667 0.750 Ac
0.000 0.000 0.500 La
0.000 0.000 0.000 La
0.333 0.667 0.382 Se
0.667 0.333 0.882 Se
0.667 0.333 0.618 Se
0.333 0.667 0.118 Se
```

---

#C
Material: AcLaSe2
Method: DFT, GGA-PBE
State: relaxed

Output
**Calculated volume**: 157 Å³ per cell
**Spin magnetization**: 0.0001 μB per atom

```
AcLaSe2
1.0
-4.045 -0.763 1.610
-2.469 -3.258 -1.681
1.401 -7.237 6.159
Ac Se La
1 2 1
direct
0.000 0.000 0.000 Ac
0.109 0.109 0.672 Se
0.891 0.891 0.328 Se
0.500 0.500 0.500 La
```

---

Which structure is most stable? #B, by 5.4 kJ/mol of atoms over the runner-up.

---

#A
Material: AcLa2Se
Method: DFT, GGA-PBE
State: relaxed

Output
**Calculated volume**: 144 Å³ per cell
**Spin magnetization**: 0.0000 μB per atom

```
AcLa2Se
1.0
-2.696 -1.471 -2.682
1.060 -0.467 -3.909
2.577 -9.935 -0.241
Ac La Se
1 2 1
direct
0.500 0.500 0.501 Ac
0.063 0.063 0.810 La
0.270 0.270 0.190 La
0.667 0.667 0.999 Se
```

---

#B
Material: AcLa2Se
Method: DFT, GGA-PBE
State: relaxed

Output
**Calculated volume**: 153 Å³ per cell
**Spin magnetization**: 0.0716 μB per atom

```
AcLa2Se
1.0
3.998 0.000 0.000
1.999 3.462 0.000
1.999 1.154 11.058
Ac Se La
1 1 2
direct
0.000 0.000 0.000 Ac
0.500 0.500 0.500 Se
0.111 0.111 0.667 La
0.889 0.889 0.333 La
```

---

Which structure is most stable? #A, by 17.3 kJ/mol of atoms over the runner-up.

---

#A
Material: Ac3LaSe6
Method: DFT, GGA-PBE
State: relaxed

Output
**Calculated volume**: 680 Å³ per cell
**Spin magnetization**: 0.0000 μB per atom

```
Ac3LaSe6
1.0
-2.034 -7.173 -0.463
5.668 -1.240 -5.686
7.469 -2.465 7.982
Ac La Se
6 2 12
direct
0.538 0.911 0.748 Ac
0.500 0.500 0.000 Ac
0.462 0.089 0.252 Ac
0.038 0.589 0.248 Ac
0.000 0.000 0.500 Ac
0.962 0.411 0.752 Ac
0.500 0.500 0.500 La
0.000 0.000 0.000 La
0.686 0.187 0.917 Se
0.676 0.191 0.582 Se
0.657 0.431 0.255 Se
0.343 0.569 0.745 Se
0.324 0.809 0.418 Se
0.314 0.813 0.083 Se
0.186 0.313 0.417 Se
0.176 0.309 0.082 Se
0.157 0.069 0.755 Se
0.843 0.931 0.245 Se
0.824 0.691 0.918 Se
0.814 0.687 0.583 Se
```

---

#B
Material: Ac3LaSe6
Method: DFT, GGA-PBE
State: relaxed

Output
**Calculated volume**: 740 Å³ per cell
**Spin magnetization**: 0.0000 μB per atom

```
Ac3LaSe6
1.0
9.045 -0.026 -0.222
-0.227 9.042 -0.222
-0.026 -0.026 9.048
Ac La Se
6 2 12
direct
0.434 0.925 0.751 Ac
0.925 0.751 0.434 Ac
0.249 0.566 0.075 Ac
0.751 0.434 0.925 Ac
0.075 0.249 0.566 Ac
0.566 0.075 0.249 Ac
0.000 0.000 0.000 La
0.500 0.500 0.500 La
0.311 0.910 0.075 Se
0.090 0.925 0.689 Se
0.592 0.815 0.464 Se
0.925 0.689 0.090 Se
0.464 0.592 0.815 Se
0.185 0.536 0.408 Se
0.815 0.464 0.592 Se
0.536 0.408 0.185 Se
0.075 0.311 0.910 Se
0.408 0.185 0.536 Se
0.910 0.075 0.311 Se
0.689 0.090 0.925 Se
```

---

Which structure is most stable? #B, by 3.3 kJ/mol of atoms over the runner-up.

---

#A
Material: AcLa3Se4
Method: DFT, GGA-PBE
State: relaxed

Output
**Calculated volume**: 233 Å³ per cell
**Spin magnetization**: 0.0000 μB per atom

```
AcLa3Se4
1.0
4.334 0.000 0.000
0.000 7.554 -0.062
0.000 -2.440 7.149
Ac La Se
1 3 4
direct
0.500 0.000 0.000 Ac
0.000 0.000 0.500 La
0.500 0.500 0.500 La
0.000 0.500 0.000 La
0.000 0.257 0.257 Se
0.500 0.747 0.253 Se
0.000 0.743 0.743 Se
0.500 0.253 0.747 Se
```

---

#B
Material: AcLa3Se4
Method: DFT, GGA-PBE
State: relaxed

Output
**Calculated volume**: 234 Å³ per cell
**Spin magnetization**: 0.0000 μB per atom

```
AcLa3Se4
1.0
5.630 0.005 -2.496
-1.111 5.519 -2.496
-0.024 -0.029 7.546
Ac Se La
1 4 3
direct
0.000 0.000 0.000 Ac
0.000 0.500 0.000 Se
0.500 0.000 0.000 Se
0.253 0.253 0.506 Se
0.747 0.747 0.494 Se
0.500 0.500 0.000 La
0.750 0.250 0.500 La
0.250 0.750 0.500 La
```

---

Which structure is most stable? #A, by 0.5 kJ/mol of atoms over the runner-up.

---

#A
Material: AcLaSi4
Method: DFT, GGA-PBE
State: relaxed

Output
**Calculated volume**: 128 Å³ per cell
**Spin magnetization**: 0.0000 μB per atom

```
AcLaSi4
1.0
5.654 0.000 0.000
2.827 4.896 0.000
2.827 1.632 4.616
Ac Si La
1 4 1
direct
0.250 0.250 0.250 Ac
0.636 0.636 0.091 Si
0.636 0.091 0.636 Si
0.636 0.636 0.636 Si
0.091 0.636 0.636 Si
0.000 0.000 0.000 La
```

---

#B
Material: AcLaSi4
Method: DFT, GGA-PBE
State: relaxed

Output
**Calculated volume**: 137 Å³ per cell
**Spin magnetization**: 0.0000 μB per atom

```
AcLaSi4
1.0
-0.428 -3.271 -3.011
-1.662 -2.688 3.156
-5.314 5.174 -1.553
Ac La Si
1 1 4
direct
0.250 0.750 0.500 Ac
0.000 0.000 0.000 La
0.663 0.163 0.326 Si
0.584 0.584 0.169 Si
0.837 0.337 0.674 Si
0.416 0.416 0.831 Si
```

---

Which structure is most stable? #B, by 31.4 kJ/mol of atoms over the runner-up.

---

#A
Material: AcLa4Sm5
Method: DFT, GGA-PBE
State: relaxed

Output
**Calculated volume**: 362 Å³ per cell
**Spin magnetization**: 0.0000 μB per atom

```
AcLa4Sm5
1.0
3.757 0.000 0.000
0.000 3.757 0.000
0.000 0.000 25.683
Ac La Sm
1 4 5
direct
0.000 0.000 0.000 Ac
0.000 0.000 0.204 La
0.000 0.000 0.401 La
0.000 0.000 0.599 La
0.000 0.000 0.796 La
0.500 0.500 0.105 Sm
0.500 0.500 0.303 Sm
0.500 0.500 0.500 Sm
0.500 0.500 0.697 Sm
0.500 0.500 0.895 Sm
```

---

#B
Material: AcLa4Sm5
Method: DFT, GGA-PBE
State: relaxed

Output
**Calculated volume**: 363 Å³ per cell
**Spin magnetization**: 0.0000 μB per atom

```
AcLa4Sm5
1.0
-3.904 -3.451 -2.759
-7.623 -0.368 4.946
-9.161 5.077 0.310
Ac La Sm
1 4 5
direct
0.000 0.000 0.000 Ac
0.598 0.113 0.692 La
0.214 0.424 0.148 La
0.786 0.576 0.852 La
0.402 0.887 0.308 La
0.210 0.939 0.641 Sm
0.790 0.061 0.359 Sm
0.399 0.405 0.796 Sm
0.000 0.500 0.500 Sm
0.601 0.595 0.204 Sm
```

---

Which structure is most stable? #A, by 1.1 kJ/mol of atoms over the runner-up.

---

#A
Material: AcLa4Sm3
Method: DFT, GGA-PBE
State: relaxed

Output
**Calculated volume**: 585 Å³ per cell
**Spin magnetization**: 0.0000 μB per atom

```
AcLa4Sm3
1.0
7.453 0.000 0.000
0.000 7.431 0.000
0.000 0.000 10.568
Ac Sm La
2 6 8
direct
0.500 0.810 0.000 Ac
0.500 0.310 0.500 Ac
0.000 0.311 0.000 Sm
0.245 0.061 0.750 Sm
0.755 0.561 0.750 Sm
0.000 0.811 0.500 Sm
0.755 0.561 0.250 Sm
0.245 0.061 0.250 Sm
0.000 0.811 0.000 La
0.500 0.310 0.000 La
0.756 0.061 0.750 La
0.244 0.561 0.750 La
0.500 0.810 0.500 La
0.000 0.311 0.500 La
0.244 0.561 0.250 La
0.756 0.061 0.250 La
```

---

#B
Material: AcLa4Sm3
Method: DFT, GGA-PBE
State: relaxed

Output
**Calculated volume**: 297 Å³ per cell
**Spin magnetization**: 0.0003 μB per atom

```
AcLa4Sm3
1.0
-1.868 1.861 -2.378
-7.683 -4.259 2.701
-0.407 7.072 5.855
Ac La Sm
1 4 3
direct
0.500 0.000 0.000 Ac
0.000 0.739 0.739 La
0.500 0.258 0.742 La
0.000 0.261 0.261 La
0.500 0.742 0.258 La
0.000 0.000 0.500 Sm
0.500 0.500 0.500 Sm
0.000 0.500 0.000 Sm
```

---

Which structure is most stable? #A, by 31.6 kJ/mol of atoms over the runner-up.

---

#A
Material: Ac2La7Sm2
Method: DFT, GGA-PBE
State: relaxed

Output
**Calculated volume**: 417 Å³ per cell
**Spin magnetization**: 0.0000 μB per atom

```
Ac2La7Sm2
1.0
10.948 1.259 -1.496
-1.188 3.475 1.057
-2.766 -1.259 10.698
Ac La Sm
2 7 2
direct
0.202 0.735 0.798 Ac
0.798 0.265 0.202 Ac
0.422 0.143 0.093 La
0.093 0.857 0.422 La
0.578 0.857 0.907 La
0.907 0.143 0.578 La
0.596 0.438 0.404 La
0.000 0.000 0.000 La
0.404 0.562 0.596 La
0.750 0.500 0.750 Sm
0.250 0.500 0.250 Sm
```

---

#B
Material: Ac2La7Sm2
Method: DFT, GGA-PBE
State: relaxed

Output
**Calculated volume**: 422 Å³ per cell
**Spin magnetization**: 0.0000 μB per atom

```
Ac2La7Sm2
1.0
-1.006 3.936 -7.604
-1.896 -5.721 -3.979
-6.256 3.365 1.301
Ac La Sm
2 7 2
direct
0.322 0.416 0.416 Ac
0.678 0.584 0.584 Ac
0.673 0.086 0.509 La
0.327 0.491 0.914 La
0.327 0.914 0.491 La
0.673 0.509 0.086 La
0.500 0.000 0.000 La
0.983 0.806 0.806 La
0.017 0.194 0.194 La
0.000 0.286 0.714 Sm
0.000 0.714 0.286 Sm
```

---

Which structure is most stable? #A, by 4.4 kJ/mol of atoms over the runner-up.